The following is a PBE calculation of Dy2ErSb2 after structural relaxation, from Alexandria via LeMat-Bulk.

formation energy from raw total energies	-3.93	eV/f.u.
magnetic moment	0.0	μB/cell
space group	Ibam (72)
electronic total energy	-51.88	eV for the cell shown

abc: 6.2303 8.3988 7.7962
angles: 122.59 113.55 90.00
Last column: nearest neighbours and their distance in Å.
Sites, in units of the cell vectors:
Dy (0.8467, 0.7015, 0.6935)  5 Sb 3.01-3.21
Dy (0.1533, 0.2985, 0.3065)  5 Sb 3.01-3.21
Dy (0.6533, 0.0080, 0.3065)  5 Sb 3.01-3.21
Dy (0.3467, 0.9920, 0.6935)  5 Sb 3.01-3.21
Sb (0.1080, 0.8947, 0.2161)  5 Dy 3.01-3.21, 2 Er 3.13
Sb (0.8920, 0.1053, 0.7839)  5 Dy 3.01-3.21, 2 Er 3.13
Sb (0.3920, 0.6787, 0.7839)  5 Dy 3.01-3.21, 2 Er 3.13
Sb (0.6080, 0.3213, 0.2161)  5 Dy 3.01-3.21, 2 Er 3.13
Er (0.2500, 0.5000, 0.0000)  2 Er 3.12, 4 Sb 3.13
Er (0.7500, 0.5000, 0.0000)  2 Er 3.12, 4 Sb 3.13